Record 1
Material: HgTeAu2
Method: DFT, PBE
State: optimized geometry

The structure in CIF format:
```
data_HgTeAu2
_symmetry_space_group_name_H-M 'C m m 2'
_symmetry_Int_Tables_number 35
_cell_length_a 4.056
_cell_length_b 4.857
_cell_length_c 9.287
_cell_angle_alpha 90.00
_cell_angle_beta 90.00
_cell_angle_gamma 90.00
loop_
_symmetry_equiv_pos_as_xyz
'x,y,z'
'-x,-y,z'
'-x,y,z'
'x,-y,z'
'x+1/2,y+1/2,z'
'-x+1/2,-y+1/2,z'
'-x+1/2,y+1/2,z'
'x+1/2,-y+1/2,z'
loop_
_atom_site_label
_atom_site_fract_x
_atom_site_fract_y
_atom_site_fract_z
Hg1 0.000 0.000 0.000
Te1 0.000 0.500 0.315
Au1 0.000 0.000 0.559
Au2 0.000 0.500 0.768
```

Output
As for the energy above the lowest structure with this stoichiometry: 155 meV per atom. The formation energy without anion corrections comes out at 18 kJ per mole of atoms.



Record 2
Material: CsScBe2Cl8
Method: DFT, PBE
State: optimized geometry

The structure in CIF format:
```
data_CsScBe2Cl8
_symmetry_space_group_name_H-M 'R -3'
_symmetry_Int_Tables_number 148
_symmetry_space_group_name_Hall '-R 3'
_cell_length_a 6.1543
_cell_length_b 6.1543
_cell_length_c 30.4981
_cell_angle_alpha 90.00
_cell_angle_beta 90.00
_cell_angle_gamma 120.00
loop_
_atom_site_label
_atom_site_fract_x
_atom_site_fract_y
_atom_site_fract_z
Cs1 0.0000 0.0000 0.0000
Sc1 0.0000 0.0000 0.5000
Be1 0.0000 0.0000 0.2377
Cl1 0.0000 0.0000 0.3020
Cl2 0.0089 0.6511 0.8818
```

Output
The formation energy without anion corrections comes out at -168 kJ per mole of atoms.



Record 3
Material: CaSc3B
Method: DFT, PBE
State: optimized geometry

The structure in CIF format:
```
data_CaSc3B
_symmetry_space_group_name_H-M 'P m -3 m'
_symmetry_Int_Tables_number 221
_symmetry_space_group_name_Hall '-P 4 2 3'
_cell_length_a 4.882
_cell_length_b 4.882
_cell_length_c 4.882
_cell_angle_alpha 90.00
_cell_angle_beta 90.00
_cell_angle_gamma 90.00
loop_
_atom_site_label
_atom_site_fract_x
_atom_site_fract_y
_atom_site_fract_z
Ca1 0.000 0.000 0.000
Sc1 0.000 0.500 0.500
B1 0.500 0.500 0.500
```

Output
As for the energy above the lowest structure with this stoichiometry: 0 meV per atom. The energy of formation from the pure elements comes out at 0.003 eV/atom.



In Ry/atom, the E values for the records above are, in order, -0.170, -0.308, -0.407.
In Å³/atom, the volume values for the records above are, in order, 22.9, 27.8, 23.3.